The following is a meta-GGA SCAN calculation of a crystal of Y2Se2Cl relaxed with PBEsol, from Alexandria.

a = 4.8947 Å, b = 4.8947 Å, c = 12.4264 Å
α = 90.00°, β = 90.00°, γ = 90.00°
Closest atoms and distances in Å follow each position.
Sites, in units of the cell vectors:
Y 0.0000 0.0000 0.1466  4 Se 2.76
Y 0.0000 0.0000 0.8534  4 Se 2.76
Y 0.5000 0.5000 0.3534  4 Se 2.76
Y 0.5000 0.5000 0.6466  4 Se 2.76
Se 0.0000 0.5000 0.2500  4 Y 2.76
Se 0.0000 0.5000 0.7500  4 Y 2.76
Se 0.5000 0.0000 0.2500  4 Y 2.76
Se 0.5000 0.0000 0.7500  4 Y 2.76
Cl 0.0000 0.0000 0.5000  8 Y 3.91, 8 Se 3.95
Cl 0.5000 0.5000 0.0000  8 Y 3.91, 8 Se 3.95

Calculated values
Energy, eV/f.u.: -112.20
Magnetic moment, μB/cell: 2.00

---

The following is a meta-GGA SCAN calculation of a crystal of Zn2SeCl relaxed with PBEsol, from Alexandria.

a = 3.6689 Å, b = 6.8293 Å, c = 7.0429 Å
α = 90.00°, β = 90.00°, γ = 90.00°
Closest atoms and distances in Å follow each position.
Sites, in units of the cell vectors:
Zn 0.0000 0.0000 0.2337  2 Se 2.46, 2 Cl 2.62
Zn 0.0000 0.0000 0.7663  2 Se 2.46, 2 Cl 2.62
Zn 0.5000 0.5000 0.2337  2 Se 2.46, 2 Cl 2.62
Zn 0.5000 0.5000 0.7663  2 Se 2.46, 2 Cl 2.62
Se 0.0000 0.5000 0.0000  4 Zn 2.46
Se 0.5000 0.0000 0.0000  4 Zn 2.46
Cl 0.0000 0.5000 0.5000  4 Zn 2.62
Cl 0.5000 0.0000 0.5000  4 Zn 2.62

Calculated values
Energy, eV/f.u.: -56.23
Magnetic moment, μB/cell: 0.00

---

The following is a meta-GGA SCAN calculation of a crystal of Zn2SeCl relaxed with PBEsol, from Alexandria.

a = 6.6113 Å, b = 6.6113 Å, c = 6.6113 Å
α = 90.00°, β = 90.00°, γ = 90.00°
Closest atoms and distances in Å follow each position.
Sites, in units of the cell vectors:
Zn 0.0000 0.0000 0.0000  4 Zn 2.86, 4 Cl 2.86
Zn 0.0000 0.5000 0.5000  4 Zn 2.86, 4 Cl 2.86
Zn 0.2500 0.2500 0.2500  4 Se 2.86, 4 Zn 2.86
Zn 0.2500 0.7500 0.7500  4 Se 2.86, 4 Zn 2.86
Zn 0.5000 0.0000 0.5000  4 Zn 2.86, 4 Cl 2.86
Zn 0.5000 0.5000 0.0000  4 Zn 2.86, 4 Cl 2.86
Zn 0.7500 0.2500 0.7500  4 Se 2.86, 4 Zn 2.86
Zn 0.7500 0.7500 0.2500  4 Se 2.86, 4 Zn 2.86
Se 0.0000 0.0000 0.5000  4 Cl 2.86, 4 Zn 2.86
Se 0.0000 0.5000 0.0000  4 Cl 2.86, 4 Zn 2.86
Se 0.5000 0.0000 0.0000  4 Cl 2.86, 4 Zn 2.86
Se 0.5000 0.5000 0.5000  4 Cl 2.86, 4 Zn 2.86
Cl 0.2500 0.2500 0.7500  4 Se 2.86, 4 Zn 2.86
Cl 0.2500 0.7500 0.2500  4 Se 2.86, 4 Zn 2.86
Cl 0.7500 0.2500 0.2500  4 Se 2.86, 4 Zn 2.86
Cl 0.7500 0.7500 0.7500  4 Se 2.86, 4 Zn 2.86

Calculated values
Energy, eV/f.u.: -53.92
Magnetic moment, μB/cell: 0.00

---

> The highest energy belongs to which entry?

number 3

---

> What is the formula in the first record?

Y2Se2Cl

---

> Which of these has the highest energy?

number 3

---

> Number 1 is which compound?

Y2Se2Cl